Entry 1:
Ga2HgB PBE relaxed; energy of formation = 0.34 eV/atom; size of the total moment = 0.0 μB per cell; excess energy over the best structure of this formula in the dataset = 0.0 kJ/mol of formula units
1.0
-2.947 2.947 4.837
2.947 -2.947 4.837
2.947 2.947 -4.837
Ga Hg B
4 2 2
Cartesian
0.725 1.473 1.209
-1.473 2.222 3.628
-0.725 4.420 1.209
1.473 3.672 3.628
2.947 0.000 2.418
0.000 0.000 4.837
0.000 0.000 0.000
0.000 2.947 2.418



Entry 2:
KGaHg2B PBE relaxed; energy of formation = 1.03 eV/atom; size of the total moment = 0.9 μB per cell
1.0
5.218 0.000 0.000
0.000 5.218 0.000
0.000 0.000 6.457
K Ga Hg B
1 1 2 1
Cartesian
0.000 0.000 0.000
0.000 0.000 3.229
0.000 2.609 3.229
2.609 0.000 3.229
2.609 2.609 0.000



Entry 3:
GaHg2B2O6 PBE relaxed; size of the total moment = 0.0 μB per cell; energy relative to the elements, uncorrected = -141 kJ/mol of atoms
1.0
4.512 -2.561 0.000
4.512 2.561 0.000
-4.357 0.000 5.717
Ga Hg B O
1 2 2 6
Cartesian
0.000 0.000 0.000
-1.026 0.000 3.540
5.692 0.000 2.177
3.031 0.000 1.137
1.635 0.000 4.579
0.866 1.171 4.455
1.675 0.000 1.088
3.800 1.171 1.262
0.866 -1.171 4.455
2.991 0.000 4.628
3.800 -1.171 1.262



Entry 4:
GaHgB2Pt PBE relaxed; energy of formation = 0.61 eV/atom; size of the total moment = 0.0 μB per cell
1.0
4.060 0.000 0.000
0.000 4.060 0.000
0.000 0.000 5.849
Ga Hg B Pt
1 1 2 1
Cartesian
0.000 0.000 0.000
2.030 2.030 0.000
0.000 2.030 2.925
2.030 0.000 2.925
2.030 2.030 2.925



Entry 5:
RbGa2HgB PBE relaxed; energy of formation = 1.87 eV/atom; size of the total moment = 2.5 μB per cell
1.0
6.372 0.000 0.000
0.000 6.372 0.000
0.000 0.000 6.405
Rb Ga Hg B
1 2 1 1
Cartesian
0.000 0.000 0.000
0.000 3.186 0.000
3.186 0.000 0.000
0.000 0.000 3.202
3.186 3.186 3.202



Entry 6:
GaHgBRu2 PBE relaxed; energy of formation = 0.42 eV/atom; size of the total moment = 0.0 μB per cell
1.0
4.198 0.000 0.000
0.000 4.198 0.000
0.000 0.000 4.367
Ga Hg B Ru
1 1 1 2
Cartesian
0.000 0.000 0.000
2.099 2.099 0.000
2.099 2.099 2.183
0.000 2.099 2.183
2.099 0.000 2.183



Entry 7:
GaHg2BRu PBE relaxed; energy of formation = 1.31 eV/atom; size of the total moment = 1.8 μB per cell
1.0
5.203 0.000 0.000
0.000 5.203 0.000
0.000 0.000 3.765
Ga Hg B Ru
1 2 1 1
Cartesian
0.000 0.000 0.000
0.000 2.601 0.000
2.601 0.000 0.000
0.000 0.000 1.883
2.601 2.601 1.883



Entry 8:
ScGaHg2B PBE relaxed; energy of formation = 0.18 eV/atom; size of the total moment = 0.0 μB per cell
1.0
4.509 0.000 0.000
0.000 4.509 0.000
0.000 0.000 4.790
Sc Ga Hg B
1 1 2 1
Cartesian
0.000 0.000 0.000
2.254 2.254 0.000
0.000 2.254 2.395
2.254 0.000 2.395
0.000 0.000 2.395



Entry 9:
Ho2GaB2Ir5 PBE relaxed; energy of formation = -0.75 eV/atom; size of the total moment = 0.0 μB per cell
1.0
9.568 0.000 0.000
0.000 9.568 0.000
0.000 0.000 3.174
Ho Ga B Ir
4 2 4 10
Cartesian
1.691 3.093 0.000
3.093 7.877 0.000
6.475 1.691 0.000
7.877 6.475 0.000
0.000 0.000 0.000
4.784 4.784 0.000
1.168 5.952 0.000
3.617 1.168 0.000
5.952 8.401 0.000
8.401 3.617 0.000
0.000 4.784 1.587
0.657 7.472 1.587
2.097 0.657 1.587
2.687 5.441 1.587
4.127 2.687 1.587
4.784 0.000 1.587
5.441 6.881 1.587
6.881 4.127 1.587
7.472 8.911 1.587
8.911 2.097 1.587



Entry 10:
Ho3GaNi9B2 PBE relaxed; energy of formation = -0.43 eV/atom; size of the total moment = 0.0 μB per cell
1.0
5.374 0.000 0.000
-2.687 4.654 0.000
0.000 0.000 8.400
Ho Ga Ni B
3 1 9 2
Cartesian
0.000 0.000 0.000
0.000 3.103 5.301
2.687 1.551 3.099
0.000 0.000 4.200
-1.343 2.327 0.000
0.000 1.543 2.343
-1.351 3.883 2.343
1.336 0.771 6.057
2.687 0.000 0.000
1.343 2.327 0.000
1.351 3.883 2.343
4.038 0.771 6.057
2.687 3.111 6.057
0.000 3.103 1.211
2.687 1.551 7.190



Entry 11:
HoGa3B4O12 PBE relaxed; size of the total moment = 0.0 μB per cell; energy relative to the elements, uncorrected = -228 kJ/mol of atoms
1.0
4.769 2.753 2.510
-4.769 2.753 2.510
0.000 -5.506 2.510
Ho Ga B O
1 3 4 12
Cartesian
0.000 0.000 0.000
-2.621 -0.966 2.510
2.147 -1.787 2.510
0.474 2.753 2.510
-2.136 -3.699 3.764
0.000 0.000 3.764
-2.136 3.699 3.764
4.271 0.000 3.764
-2.884 -2.543 3.649
-3.883 0.000 3.764
-0.760 -3.769 3.880
-1.385 0.000 3.764
-2.884 2.543 3.880
1.942 -3.363 3.764
0.693 -1.200 3.764
-0.760 3.769 3.649
0.693 1.200 3.764
3.644 -1.226 3.649
1.942 3.363 3.764
3.644 1.226 3.880



Entry 12:
HoGa2BO6 PBE relaxed; size of the total moment = 0.0 μB per cell; energy relative to the elements, uncorrected = -234 kJ/mol of atoms
1.0
5.231 -4.265 0.000
5.231 4.265 0.000
-2.755 0.000 5.249
Ho Ga B O
2 4 2 12
Cartesian
3.165 2.778 3.937
4.542 -2.778 1.312
0.798 0.574 4.486
2.175 -0.574 1.861
5.532 0.574 3.388
6.909 -0.574 0.763
4.542 2.750 1.312
3.165 -2.750 3.937
-0.874 0.636 3.641
0.503 -0.636 1.016
4.311 2.020 0.079
1.947 0.846 3.015
4.773 2.020 2.546
3.325 -0.846 0.390
4.382 0.846 4.859
2.934 -2.020 2.704
5.760 -0.846 2.235
3.396 -2.020 5.171
7.204 0.636 4.233
8.581 -0.636 1.609